Here is a relaxed Er6In2Sn crystal from the Alexandria database. Energies are from PBE.

Magnetic moment in Bohr magnetons per cell: 0.003
Formation energy from the elements in eV per formula unit: -1.661

a b c (Å): 8.8655 8.8655 8.8655
angles (deg): 146.44 131.80 60.01
Closest atoms and distances in Å follow each position.
Positions (direct):
Er  0.0813  0.3324  0.7489  3 In 3.13, 1 Sn 3.15
Er  0.2479  0.0000  0.2479  2 In 3.12, 2 Sn 3.14
Er  0.4165  0.6676  0.7489  3 In 3.13, 1 Sn 3.15
Er  0.5835  0.3324  0.2511  3 In 3.13, 1 Sn 3.15
Er  0.7521  0.0000  0.7521  2 In 3.12, 2 Sn 3.14
Er  0.9187  0.6676  0.2511  3 In 3.13, 1 Sn 3.15
In  0.1664  0.1664  0.0000  8 Er 3.12-3.13
In  0.8336  0.8336  0.0000  8 Er 3.12-3.13
Sn  0.5000  0.5000  0.0000  8 Er 3.14-3.15